1.
Material: BaLa2Te
Method: DFT, PBE-GGA
State: relaxed

The value obtained for the raw total energy is -4.33 eV/atom. As for the density of states at the Fermi level: 1.322 states/eV per atom.

The space group is Immm (No. 71) and the conventional cell measures 4.047, 5.922 and 13.088 Å, with angles of 90.00, 90.00 and 90.00 degrees. The asymmetric unit holds Ba at (0.000, 0.000, 0.000), La at (0.000, 0.500, 0.205) and Te at (0.000, 0.000, 0.500).

2.
Material: Ba5LaTe6
Method: DFT, PBE-GGA
State: relaxed

The value obtained for the raw total energy is -4.52 eV/atom. As for the density of states at the Fermi level: 0.419 states/eV per atom.

The space group is C2/m (No. 12) and the conventional cell measures 8.518, 14.740 and 8.507 Å, with angles of 90.00, 109.52 and 90.00 degrees. The asymmetric unit holds Ba at (0.000, 0.000, 0.000), Ba at (0.000, 0.166, 0.500), Ba at (0.000, 0.329, 0.000), La at (0.000, 0.500, 0.500), Te at (0.234, 0.500, 0.259) and Te at (0.237, 0.342, 0.738).

3.
Material: BaLa2Te
Method: DFT, PBE-GGA
State: relaxed

The value obtained for the raw total energy is -4.20 eV/atom. As for the density of states at the Fermi level: 1.108 states/eV per atom.

The space group is Pmmm (No. 47) and the conventional cell measures 4.104, 5.857 and 5.912 Å, with angles of 90.00, 90.00 and 90.00 degrees. The asymmetric unit holds Ba at (0.000, 0.000, 0.000), La at (0.000, 0.500, 0.500), La at (0.500, 0.500, 0.000) and Te at (0.500, 0.000, 0.500).

4.
Material: BaLa2Te
Method: DFT, PBE-GGA
State: relaxed

The value obtained for the raw total energy is -4.16 eV/atom. As for the density of states at the Fermi level: 1.343 states/eV per atom.

The space group is I-4m2 (No. 119) and the conventional cell measures 4.981, 4.981 and 11.190 Å, with angles of 90.00, 90.00 and 90.00 degrees. The asymmetric unit holds Ba at (0.000, 0.000, 0.000), La at (0.000, 0.000, 0.500), La at (0.000, 0.500, 0.750) and Te at (0.000, 0.500, 0.250).

5.
Material: BaLa5Te6
Method: DFT, PBE-GGA
State: relaxed

The value obtained for the raw total energy is -5.38 eV/atom. As for the density of states at the Fermi level: 0.682 states/eV per atom.

The space group is C2/m (No. 12) and the conventional cell measures 8.026, 13.913 and 8.052 Å, with angles of 90.00, 109.48 and 90.00 degrees. The asymmetric unit holds Ba at (0.000, 0.000, 0.000), La at (0.000, 0.160, 0.500), La at (0.000, 0.333, 0.000), La at (0.000, 0.500, 0.500), Te at (0.239, 0.500, 0.251) and Te at (0.242, 0.328, 0.741).

6.
Material: Ba3LaTe
Method: DFT, PBE-GGA
State: relaxed

The value obtained for the raw total energy is -2.53 eV/atom. As for the density of states at the Fermi level: 1.147 states/eV per atom.

The space group is Pm-3m (No. 221) and the conventional cell measures 6.278, 6.278 and 6.278 Å, with angles of 90.00, 90.00 and 90.00 degrees. The asymmetric unit holds Ba at (0.000, 0.000, 0.500), La at (0.000, 0.000, 0.000) and Te at (0.500, 0.500, 0.500).